The following is a GGA-PBE calculation of crystalline NaGeB at its relaxed geometry, from Alexandria.

Structure (POSCAR):
```
NaGeB
1.0
4.607 0.000 0.000
0.000 4.607 0.000
0.000 0.000 12.731
B Na Ge
4 4 4
Direct
0.389 0.389 0.875
0.611 0.389 0.125
0.389 0.611 0.625
0.611 0.611 0.375
0.308 0.000 0.250
0.692 0.000 0.750
0.000 0.692 0.000
0.000 0.308 0.500
0.826 0.500 0.250
0.500 0.174 0.000
0.174 0.500 0.750
0.500 0.826 0.500
```

Output
- M_tot (μB/f.u.) = 0.0
- energy (eV per atom) = -3.58
- calculated density (g/cm3) = 2.6

---

The following is a GGA-PBE calculation of crystalline NaGeB at its relaxed geometry, from Alexandria.

Structure (POSCAR):
```
NaGeB
1.0
-4.750 1.331 1.751
-2.258 2.327 4.110
-2.801 4.267 1.159
Ge Na B
1 1 1
Direct
0.604 0.604 0.604
0.093 0.093 0.093
0.279 0.279 0.279
```

Output
- M_tot (μB/f.u.) = 0.0
- energy (eV per atom) = -4.05
- calculated density (g/cm3) = 3.3

---

The following is a GGA-PBE calculation of crystalline NaGeB2 at its relaxed geometry, from Alexandria.

Structure (POSCAR):
```
NaGeB2
1.0
4.119 0.000 0.000
0.000 4.119 0.000
2.060 2.060 7.080
Na B Ge
2 4 2
Direct
0.250 0.750 0.500
0.500 0.500 0.000
0.875 0.125 0.750
0.875 0.125 0.250
0.875 0.625 0.250
0.375 0.125 0.750
0.750 0.250 0.500
0.000 0.000 0.000
```

Output
- M_tot (μB/f.u.) = 0.0
- energy (eV per atom) = -3.99
- calculated density (g/cm3) = 3.2

---

The following is a GGA-PBE calculation of crystalline NaGeB at its relaxed geometry, from Alexandria.

Structure (POSCAR):
```
NaGeB
1.0
-8.671 -0.340 5.318
-7.345 2.797 6.466
-9.218 2.651 3.402
Na Ge B
2 2 2
Direct
0.387 0.387 0.387
0.613 0.613 0.613
0.204 0.204 0.204
0.796 0.796 0.796
0.878 0.878 0.878
0.122 0.122 0.122
```

Output
- M_tot (μB/f.u.) = 0.0
- energy (eV per atom) = -3.92
- calculated density (g/cm3) = 3.2

---

The following is a GGA-PBE calculation of crystalline NaGeB at its relaxed geometry, from Alexandria.

Structure (POSCAR):
```
NaGeB
1.0
-8.024 -6.229 5.010
-5.781 -6.661 7.106
-0.948 2.443 1.518
B Na Ge
2 2 2
Direct
0.754 0.754 0.500
0.246 0.246 0.500
0.656 0.656 0.000
0.344 0.344 0.000
0.945 0.945 0.500
0.055 0.055 0.500
```

Output
- M_tot (μB/f.u.) = 0.0
- energy (eV per atom) = -3.91
- calculated density (g/cm3) = 3.4

---

The following is a GGA-PBE calculation of crystalline Na3GeB at its relaxed geometry, from Alexandria.

Structure (POSCAR):
```
Na3GeB
1.0
-1.736 -4.518 -1.496
-0.638 -1.357 4.839
-4.717 1.847 -0.104
Na B Ge
3 1 1
Direct
0.000 0.500 0.000
0.500 0.000 0.000
0.000 0.000 0.500
0.000 0.000 0.000
0.500 0.500 0.500
```

Output
- M_tot (μB/f.u.) = 0.1
- ΔE to the lowest computed polymorph (meV/atom) = 0.0
- energy (eV per atom) = -2.18
- calculated density (g/cm3) = 1.9

---

The following is a GGA-PBE calculation of crystalline NaGeB at its relaxed geometry, from Alexandria.

Structure (POSCAR):
```
NaGeB
1.0
3.709 0.000 0.000
0.000 4.081 0.000
0.000 0.000 4.088
Ge B Na
1 1 1
Direct
0.500 0.500 0.000
0.000 0.500 0.000
0.000 0.000 0.500
```

Output
- M_tot (μB/f.u.) = 0.0
- energy (eV per atom) = -3.60
- calculated density (g/cm3) = 2.9

---

The following is a GGA-PBE calculation of crystalline NaGeB at its relaxed geometry, from Alexandria.

Structure (POSCAR):
```
NaGeB
1.0
2.294 -4.650 0.000
2.294 4.650 0.000
0.000 0.000 4.775
Ge Na B
2 2 2
Direct
0.154 0.846 0.500
0.846 0.154 0.500
0.649 0.351 0.000
0.351 0.649 0.000
0.000 0.000 0.833
0.000 0.000 0.167
```

Output
- M_tot (μB/f.u.) = 0.0
- energy (eV per atom) = -4.04
- calculated density (g/cm3) = 3.5

---

The following is a GGA-PBE calculation of crystalline NaGeB at its relaxed geometry, from Alexandria.

Structure (POSCAR):
```
NaGeB
1.0
4.811 0.000 0.000
0.000 4.106 0.000
-2.406 -2.053 6.196
Na Ge B
2 2 2
Direct
0.642 0.142 0.283
0.358 0.858 0.717
0.106 0.606 0.212
0.894 0.394 0.788
0.335 0.500 0.000
0.665 0.500 0.000
```

Output
- M_tot (μB/f.u.) = 0.0
- energy (eV per atom) = -4.00
- calculated density (g/cm3) = 2.9

---

The following is a GGA-PBE calculation of crystalline NaGeB at its relaxed geometry, from Alexandria.

Structure (POSCAR):
```
NaGeB
1.0
-5.158 -2.549 0.029
-0.012 -4.876 0.742
-3.107 -1.740 4.442
Ge B Na
2 2 2
Direct
0.747 0.901 0.253
0.099 0.253 0.901
0.103 0.659 0.897
0.341 0.897 0.659
0.387 0.613 0.204
0.796 0.204 0.613
```

Output
- M_tot (μB/f.u.) = 0.0
- energy (eV per atom) = -3.98
- calculated density (g/cm3) = 3.2

---

The following is a GGA-PBE calculation of crystalline NaGeB at its relaxed geometry, from Alexandria.

Structure (POSCAR):
```
NaGeB
1.0
-3.767 9.400 11.703
-4.075 3.585 3.150
1.827 -5.546 -2.298
Na Ge B
2 2 2
Direct
0.730 0.402 0.598
0.270 0.598 0.402
0.736 0.143 0.857
0.264 0.857 0.143
0.018 0.713 0.287
0.982 0.287 0.713
```

Output
- M_tot (μB/f.u.) = 0.0
- energy (eV per atom) = -3.94
- calculated density (g/cm3) = 3.0

---

The following is a GGA-PBE calculation of crystalline NaGeB at its relaxed geometry, from Alexandria.

Structure (POSCAR):
```
NaGeB
1.0
-3.861 -5.420 0.163
2.028 -2.323 -0.142
0.033 -0.304 5.512
B Ge Na
2 2 2
Direct
0.399 0.730 0.086
0.316 0.272 0.065
0.015 0.422 0.926
0.700 0.580 0.226
0.622 0.119 0.720
0.093 0.883 0.431
```

Output
- M_tot (μB/f.u.) = 0.0
- energy (eV per atom) = -4.04
- calculated density (g/cm3) = 3.2